DFT (GGA-PBE) results for an optimized crystal structure of YTaCd2O6.

Unit cell a=5.6259 b=5.7665 c=9.9079 alpha=90.00 beta=124.19 gamma=90.00
Fractional coordinates of all 20 atoms:
Y (0.0000, 0.0000, 0.0000)
Y (0.0000, 0.5000, 0.5000)
Ta (0.5000, 0.0000, 0.5000)
Ta (0.5000, 0.5000, 0.0000)
Cd (0.2533, 0.0415, 0.7484)
Cd (0.2533, 0.4585, 0.2484)
Cd (0.7467, 0.5415, 0.7516)
Cd (0.7467, 0.9585, 0.2516)
O (0.1567, 0.0608, 0.2670)
O (0.1567, 0.4392, 0.7670)
O (0.2553, 0.6724, 0.0536)
O (0.2553, 0.8276, 0.5536)
O (0.4016, 0.2046, 0.0666)
O (0.4016, 0.2954, 0.5666)
O (0.5984, 0.7046, 0.4334)
O (0.5984, 0.7954, 0.9334)
O (0.7447, 0.1724, 0.4464)
O (0.7447, 0.3276, 0.9464)
O (0.8433, 0.5608, 0.2330)
O (0.8433, 0.9392, 0.7330)

Formation energy without anion corrections   -222.9 kJ per mole of atoms
SG   P2_1/c (14)
Raw total energy   -7.300 eV per atom

---

DFT (GGA-PBE) results for an optimized crystal structure of TaZn2CdO6.

Unit cell a=7.1957 b=7.1957 c=6.8526 alpha=110.44 beta=110.44 gamma=79.90
Fractional coordinates of all 20 atoms:
Ta (0.1431, 0.8569, 0.7500)
Ta (0.8569, 0.1431, 0.2500)
Zn (0.2918, 0.3746, 0.3739)
Zn (0.3746, 0.2918, 0.8739)
Zn (0.6254, 0.7082, 0.1261)
Zn (0.7082, 0.6254, 0.6261)
Cd (0.2157, 0.7843, 0.2500)
Cd (0.7843, 0.2157, 0.7500)
O (0.1092, 0.1511, 0.2328)
O (0.1511, 0.1092, 0.7328)
O (0.1846, 0.6607, 0.5031)
O (0.3034, 0.4504, 0.1322)
O (0.3393, 0.8154, 0.9969)
O (0.4504, 0.3034, 0.6322)
O (0.5496, 0.6966, 0.3678)
O (0.6607, 0.1846, 0.0031)
O (0.6966, 0.5496, 0.8678)
O (0.8154, 0.3393, 0.4969)
O (0.8489, 0.8908, 0.2672)
O (0.8908, 0.8489, 0.7672)

Formation energy without anion corrections   -150.3 kJ per mole of atoms
SG   C2/c (15)
Raw total energy   -6.064 eV per atom

---

DFT (GGA-PBE) results for an optimized crystal structure of Zr2TaCdO.

Unit cell a=5.4015 b=5.4015 c=3.8680 alpha=90.00 beta=90.00 gamma=90.00
Fractional coordinates of all 5 atoms:
Zr (0.0000, 0.5000, 0.0000)
Zr (0.5000, 0.0000, 0.0000)
Ta (0.0000, 0.0000, 0.5000)
Cd (0.5000, 0.5000, 0.0000)
O (0.5000, 0.5000, 0.5000)

Formation energy without anion corrections   109.1 kJ per mole of atoms
SG   P4/mmm (123)
Raw total energy   -5.834 eV per atom

---

DFT (GGA-PBE) results for an optimized crystal structure of TbCdO2.

Unit cell a=6.8952 b=6.8952 c=6.8952 alpha=30.42 beta=30.42 gamma=30.42
Fractional coordinates of all 4 atoms:
Tb (0.0000, 0.0000, 0.0000)
Cd (0.5000, 0.5000, 0.5000)
O (0.1071, 0.1071, 0.1071)
O (0.8929, 0.8929, 0.8929)

Formation energy without anion corrections   -128.0 kJ per mole of atoms
SG   R-3m (166)
Raw total energy   -5.192 eV per atom

---

DFT (GGA-PBE) results for an optimized crystal structure of Tb3CdO6.

Unit cell a=7.2012 b=7.2012 c=5.6782 alpha=90.00 beta=90.00 gamma=102.41
Fractional coordinates of all 20 atoms:
Tb (0.1015, 0.8985, 0.5000)
Tb (0.1896, 0.4133, 0.5582)
Tb (0.4133, 0.1896, 0.0582)
Tb (0.5867, 0.8104, 0.5582)
Tb (0.8104, 0.5867, 0.0582)
Tb (0.8985, 0.1015, 0.0000)
Cd (0.3346, 0.6654, 0.0666)
Cd (0.6654, 0.3346, 0.5666)
O (0.0705, 0.5987, 0.2872)
O (0.1417, 0.1787, 0.2767)
O (0.1787, 0.1417, 0.7767)
O (0.2780, 0.7220, 0.7032)
O (0.4013, 0.9295, 0.2872)
O (0.4859, 0.5141, 0.3446)
O (0.5141, 0.4859, 0.8446)
O (0.5987, 0.0705, 0.7872)
O (0.7220, 0.2780, 0.2032)
O (0.8213, 0.8583, 0.2767)
O (0.8583, 0.8213, 0.7767)
O (0.9295, 0.4013, 0.7872)

Formation energy without anion corrections   -268.2 kJ per mole of atoms
SG   Cmc2_1 (36)
Raw total energy   -7.235 eV per atom

---

DFT (GGA-PBE) results for an optimized crystal structure of Tb5Cd2O2.

Unit cell a=10.1627 b=10.1627 c=10.1627 alpha=140.30 beta=57.91 gamma=139.62
Fractional coordinates of all 18 atoms:
Tb (0.0000, 0.0000, 0.5000)
Tb (0.0000, 0.5000, 0.0000)
Tb (0.2131, 0.0771, 0.1360)
Tb (0.2325, 0.0000, 0.7325)
Tb (0.2325, 0.5000, 0.2325)
Tb (0.4411, 0.0771, 0.3640)
Tb (0.5589, 0.9229, 0.6360)
Tb (0.7675, 0.0000, 0.2675)
Tb (0.7675, 0.5000, 0.7675)
Tb (0.7869, 0.9229, 0.8640)
Cd (0.1192, 0.4916, 0.6275)
Cd (0.3641, 0.4916, 0.8725)
Cd (0.6359, 0.5084, 0.1275)
Cd (0.8808, 0.5084, 0.3725)
O (0.0000, 0.0000, 0.0000)
O (0.2121, 0.9621, 0.2500)
O (0.5000, 0.0000, 0.5000)
O (0.7879, 0.0379, 0.7500)

Formation energy without anion corrections   -134.3 kJ per mole of atoms
SG   Imma (74)
Raw total energy   -5.269 eV per atom